P) A geometry-optimized TlIn4Bi structure, computed with PBE-GGA.

Lattice parameters (Å, degrees): 6.372 6.211 9.543 90.20 110.25 90.49
Element x y z (fractional)
Tl 0.896 0.749 0.004
Tl 0.104 0.251 0.996
In 0.540 0.127 0.839
In 0.694 0.370 0.160
In 0.460 0.873 0.161
In 0.306 0.630 0.840
In 0.024 0.036 0.666
In 0.354 0.463 0.332
In 0.976 0.964 0.334
In 0.646 0.537 0.668
Bi 0.500 0.000 0.500
Bi 0.000 0.500 0.500

- Theoretical density: 8.180 g/cm³
- Space-group type: No. 2

=====

Q) A geometry-optimized TlIn4Bi structure, computed with PBE-GGA.

Lattice parameters (Å, degrees): 3.369 3.369 15.333 90.00 90.00 90.00
Element x y z (fractional)
Tl 0.000 0.000 0.000
In 0.500 0.500 0.168
In 0.000 0.000 0.670
In 0.000 0.000 0.330
In 0.500 0.500 0.832
Bi 0.500 0.500 0.500

- Theoretical density: 8.325 g/cm³
- Space-group type: No. 123

=====

Relative energies, meV/atom: P) 24; Q) 0.